Entry from Alexandria via LeMat-Bulk: Sm2RhI3 after structural relaxation (PBE).

Volume ... 35.6 Å³ per atom
Energy relative to the elements, uncorrected ... -1029 meV per atom
Electronic total energy ... -4.60 eV per atom

Cell lengths 4.4048, 9.2962, 11.2628 Å; angles 74.49, 78.72, 76.30 degrees
Last column: nearest neighbours and their distance in Å.
Fractional coordinates of all 12 atoms:
I (0.0526, 0.1047, 0.7900)  3 Sm 3.16-3.26
I (0.6614, 0.6969, 0.9804)  3 Sm 3.22-3.34
I (0.2069, 0.1934, 0.3928)  3 Sm 3.22-3.34, 2 Rh 3.38
I (0.7931, 0.8066, 0.6072)  3 Sm 3.22-3.34, 2 Rh 3.38
I (0.3386, 0.3031, 0.0196)  3 Sm 3.22-3.34
I (0.9474, 0.8953, 0.2100)  3 Sm 3.16-3.26
Sm (0.4180, 0.7554, 0.4085)  2 Rh 2.62-2.90
Sm (0.8681, 0.4626, 0.8012)  2 Rh 2.83
Sm (0.1319, 0.5374, 0.1988)  2 Rh 2.83
Sm (0.5820, 0.2446, 0.5915)  2 Rh 2.62-2.90
Rh (0.4236, 0.5170, 0.6358)  4 Sm 2.62-2.90
Rh (0.5764, 0.4830, 0.3642)  4 Sm 2.62-2.90